Computed, not measured: an optimized crystal structure of Ca2SmCdS4 at the PBE level of DFT.

Unit cell a=3.9987 b=7.1187 c=6.8764 alpha=109.84 beta=90.00 gamma=90.00
With the nearest neighbours (Å) after each atom.
Positions (direct):
1 Ca 0.5000 0.0000 0.5000  6 S 2.84-2.91
2 Ca 0.0000 0.5000 0.5000  6 S 2.85-2.86
3 Sm 0.5000 0.5000 0.0000  6 S 2.82-2.83
4 Cd 0.0000 0.0000 0.0000  6 S 2.82-2.87
5 S 0.5000 0.2500 0.2425  2 Cd 2.82, 1 Sm 2.82, 3 Ca 2.86-2.91
6 S 0.5000 0.7500 0.7575  2 Cd 2.82, 1 Sm 2.82, 3 Ca 2.86-2.91
7 S 0.0000 0.2514 0.7499  2 Sm 2.83, 3 Ca 2.84-2.85, 1 Cd 2.87
8 S 0.0000 0.7486 0.2501  2 Sm 2.83, 3 Ca 2.84-2.85, 1 Cd 2.87

formation energy from raw total energies = -1653 meV/atom
size of the total moment = 0.00 Bohr magnetons per cell
raw total energy = -4.921 eV/atom
D(E_F) = 0.3990 states/eV per atom

Computed, not measured: an optimized crystal structure of CaCdSn2S6 at the PBE level of DFT.

Unit cell a=7.1793 b=9.0440 c=9.0440 alpha=85.98 beta=75.54 gamma=75.54
With the nearest neighbours (Å) after each atom.
Positions (direct):
1 Ca 0.2500 0.8858 0.1142  6 S 2.80-2.92
2 Ca 0.7500 0.1142 0.8858  6 S 2.80-2.92
3 Cd 0.2500 0.2267 0.7733  4 S 2.51-2.71
4 Cd 0.7500 0.7733 0.2267  4 S 2.51-2.71
5 Sn 0.2775 0.7727 0.6148  4 S 2.41-2.46
6 Sn 0.2225 0.3852 0.2273  4 S 2.41-2.46
7 Sn 0.7225 0.2273 0.3852  4 S 2.41-2.46
8 Sn 0.7775 0.6148 0.7727  4 S 2.41-2.46
9 S 0.1490 0.9549 0.8200  1 Sn 2.41
10 S 0.3510 0.1800 0.0451  1 Sn 2.41
11 S 0.8510 0.0451 0.1800  1 Sn 2.41
12 S 0.6490 0.8200 0.9549  1 Sn 2.41
13 S 0.4047 0.8897 0.3758  1 Sn 2.41, 1 Cd 2.51
14 S 0.0953 0.6242 0.1103  1 Sn 2.41, 1 Cd 2.51
15 S 0.5953 0.1103 0.6242  1 Sn 2.41, 1 Cd 2.51
16 S 0.9047 0.3758 0.8897  1 Sn 2.41, 1 Cd 2.51
17 S 0.0069 0.6895 0.5495  2 Sn 2.44-2.46
18 S 0.4931 0.4505 0.3105  2 Sn 2.44-2.46
19 S 0.9931 0.3105 0.4505  2 Sn 2.44-2.46
20 S 0.5069 0.5495 0.6895  2 Sn 2.44-2.46

formation energy from raw total energies = -704 meV/atom
size of the total moment = 0.00 Bohr magnetons per cell
raw total energy = -4.273 eV/atom

Which formula does entry 1 have?
Ca2SmCdS4

Look up the raw total energy of the first one.
-4.921 eV/atom

Look up the size of the total moment of the first one.
0.00 Bohr magnetons per cell

Which value of formation energy from raw total energies does entry 2 give?
-704 meV/atom